[1]
{
  "formula": "Ac3SnGeCl",
  "functional": "GGA-PBE",
  "state": "relaxed",
  "lattice": [[8.0461, 0.0000, 0.0000], [0.0000, 4.5731, 0.0000], [-2.2345, 0.0000, 11.6683]],
  "species": ["Ac", "Ac", "Ac", "Ac", "Ac", "Ac", "Sn", "Sn", "Ge", "Ge", "Cl", "Cl"],
  "fractional_positions": [[0.0334, 0.2500, 0.1538], [0.2231, 0.7500, 0.4928], [0.4525, 0.7500, 0.8505], [0.5475, 0.2500, 0.1495], [0.7769, 0.2500, 0.5072], [0.9666, 0.7500, 0.8462], [0.1561, 0.2500, 0.6865], [0.8439, 0.7500, 0.3135], [0.2685, 0.7500, 0.0727], [0.7315, 0.2500, 0.9273], [0.3890, 0.2500, 0.3785], [0.6110, 0.7500, 0.6215]],
  "e_form_raw_ev_per_atom": -1.01
}

[2]
{
  "formula": "Ac4Ge2TeCl",
  "functional": "GGA-PBE",
  "state": "relaxed",
  "lattice": [[-3.2546, 3.2546, 6.4330], [3.2546, -3.2546, 6.4330], [3.2546, 3.2546, -6.4330]],
  "species": ["Ac", "Ac", "Ac", "Ac", "Ge", "Ge", "Te", "Cl"],
  "fractional_positions": [[0.0000, 0.5000, 0.5000], [0.2464, 0.2464, 0.0000], [0.5000, 0.0000, 0.5000], [0.7536, 0.7536, 0.0000], [0.2500, 0.7500, 0.5000], [0.7500, 0.2500, 0.5000], [0.5000, 0.5000, 0.0000], [0.0000, 0.0000, 0.0000]],
  "e_form_raw_ev_per_atom": -1.18
}

[3]
{
  "formula": "Ac8Ge3Te4Cl",
  "functional": "GGA-PBE",
  "state": "relaxed",
  "lattice": [[4.6293, 2.6727, 7.7322], [-4.6293, 2.6727, 7.7322], [0.0000, -5.3454, 7.7322]],
  "species": ["Ac", "Ac", "Ac", "Ac", "Ac", "Ac", "Ac", "Ac", "Ge", "Ge", "Ge", "Te", "Te", "Te", "Te", "Cl"],
  "fractional_positions": [[0.2312, 0.7482, 0.7482], [0.2416, 0.2416, 0.2416], [0.2518, 0.2518, 0.7688], [0.2518, 0.7688, 0.2518], [0.7482, 0.2312, 0.7482], [0.7482, 0.7482, 0.2312], [0.7584, 0.7584, 0.7584], [0.7688, 0.2518, 0.2518], [0.0000, 0.0000, 0.5000], [0.0000, 0.5000, 0.0000], [0.5000, 0.0000, 0.0000], [0.0000, 0.0000, 0.0000], [0.0000, 0.5000, 0.5000], [0.5000, 0.0000, 0.5000], [0.5000, 0.5000, 0.0000], [0.5000, 0.5000, 0.5000]],
  "e_form_raw_ev_per_atom": -1.31
}

[4]
{
  "formula": "AcHCl",
  "functional": "GGA-PBE",
  "state": "relaxed",
  "lattice": [[-1.8389, 1.8389, 4.9592], [1.8389, -1.8389, 4.9592], [1.8389, 1.8389, -4.9592]],
  "species": ["Ac", "H", "Cl"],
  "fractional_positions": [[0.0000, 0.0000, 0.0000], [0.4227, 0.4227, 0.0000], [0.6954, 0.6954, 0.0000]],
  "relative_energy_mev_per_atom": 193
}

[5]
{
  "formula": "AcHCl",
  "functional": "GGA-PBE",
  "state": "relaxed",
  "lattice": [[4.4028, 0.0000, 0.0000], [-2.2014, 3.8129, 0.0000], [0.0000, 0.0000, 3.8554]],
  "species": ["Ac", "H", "Cl"],
  "fractional_positions": [[0.0000, 0.0000, 0.0000], [0.3333, 0.6667, 0.9983], [0.6667, 0.3333, 0.4993]],
  "relative_energy_mev_per_atom": 166
}

[6]
{
  "formula": "AcHCl3",
  "functional": "GGA-PBE",
  "state": "relaxed",
  "lattice": [[8.0404, 0.0000, 0.0000], [0.0000, 4.3348, 0.0000], [-1.0459, 0.0000, 8.6443]],
  "species": ["Ac", "Ac", "H", "H", "Cl", "Cl", "Cl", "Cl", "Cl", "Cl"],
  "fractional_positions": [[0.2308, 0.2500, 0.3790], [0.7692, 0.7500, 0.6210], [0.3143, 0.2500, 0.0660], [0.6857, 0.7500, 0.9340], [0.0935, 0.7500, 0.1762], [0.1493, 0.7500, 0.5979], [0.4926, 0.7500, 0.3428], [0.5074, 0.2500, 0.6572], [0.8507, 0.2500, 0.4021], [0.9065, 0.2500, 0.8238]],
  "e_tot_ev_per_atom": -4.1013
}

[7]
{
  "formula": "AcH2Cl",
  "functional": "GGA-PBE",
  "state": "relaxed",
  "lattice": [[4.1782, 0.0000, 0.0000], [0.0000, 5.7837, 0.0000], [0.0000, 0.0000, 5.9831]],
  "species": ["Ac", "Ac", "H", "H", "H", "H", "Cl", "Cl"],
  "fractional_positions": [[0.2500, 0.2500, 0.1947], [0.7500, 0.7500, 0.8053], [0.2500, 0.5386, 0.8988], [0.2500, 0.9614, 0.8988], [0.7500, 0.0386, 0.1012], [0.7500, 0.4614, 0.1012], [0.2500, 0.7500, 0.4168], [0.7500, 0.2500, 0.5832]],
  "relative_energy_mev_per_atom": 0
}

[8]
{
  "formula": "AcH2Cl",
  "functional": "GGA-PBE",
  "state": "relaxed",
  "lattice": [[0.0000, 3.1509, 3.1509], [3.1509, 0.0000, 3.1509], [3.1509, 3.1509, 0.0000]],
  "species": ["Ac", "H", "H", "Cl"],
  "fractional_positions": [[0.0000, 0.0000, 0.0000], [0.2500, 0.2500, 0.2500], [0.7500, 0.7500, 0.7500], [0.5000, 0.5000, 0.5000]],
  "relative_energy_mev_per_atom": 194
}

[9]
{
  "formula": "Ac2HCl",
  "functional": "GGA-PBE",
  "state": "relaxed",
  "lattice": [[1.9684, 1.1365, 7.8386], [-1.9684, 1.1365, 7.8386], [0.0000, -2.2729, 7.8386]],
  "species": ["Ac", "Ac", "H", "Cl"],
  "fractional_positions": [[0.2335, 0.2335, 0.2335], [0.7665, 0.7665, 0.7665], [0.5000, 0.5000, 0.5000], [0.0000, 0.0000, 0.0000]],
  "e_tot_ev_per_atom": -4.2206
}

[10]
{
  "formula": "AcHCl",
  "functional": "GGA-PBE",
  "state": "relaxed",
  "lattice": [[-2.2503, 2.2503, 6.8227], [2.2503, -2.2503, 6.8227], [2.2503, 2.2503, -6.8227]],
  "species": ["Ac", "Ac", "H", "H", "Cl", "Cl"],
  "fractional_positions": [[0.1497, 0.1497, 0.0000], [0.8503, 0.8503, 0.0000], [0.2500, 0.7500, 0.5000], [0.7500, 0.2500, 0.5000], [0.0000, 0.5000, 0.5000], [0.5000, 0.0000, 0.5000]],
  "relative_energy_mev_per_atom": 18
}